(1)
First-principles (PBE-GGA) data for crystalline Ac4NdTl at its relaxed geometry, as listed in Alexandria via LeMat-Bulk.

## Properties
Energy above the lowest structure with this stoichiometry ... 0.00 kcal/mol of atoms
Magnetic moment ... 0.000 μB per formula unit
D(E_F) ... 1.6550 states/eV per atom

a = 3.9656 Å, b = 3.9656 Å, c = 15.3201 Å
α = 90.00°, β = 90.00°, γ = 90.00°
Last column: nearest neighbours and their distance in Å.
Fractional positions:
Ac  0.5000  0.5000  0.1704  4 Nd 3.83, 8 Ac 3.97-3.99
Ac  0.0000  0.0000  0.6447  4 Tl 3.57, 8 Ac 3.97-3.99
Ac  0.0000  0.0000  0.3553  4 Tl 3.57, 8 Ac 3.97-3.99
Ac  0.5000  0.5000  0.8296  4 Nd 3.83, 8 Ac 3.97-3.99
Nd  0.0000  0.0000  0.0000  8 Ac 3.83, 4 Nd 3.97
Tl  0.5000  0.5000  0.5000  8 Ac 3.57, 4 Tl 3.97


(2)
First-principles (PBE-GGA) data for crystalline Ac2NdTl3 at its relaxed geometry, as listed in Alexandria via LeMat-Bulk.

## Properties
Energy above the lowest structure with this stoichiometry ... 3.42 kcal/mol of atoms
Magnetic moment ... 0.000 μB per formula unit
D(E_F) ... 0.8843 states/eV per atom

a = 3.9587 Å, b = 7.2755 Å, c = 15.1718 Å
α = 90.00°, β = 97.50°, γ = 90.00°
Last column: nearest neighbours and their distance in Å.
Fractional positions:
Ac  0.1591  0.7500  0.3182  6 Tl 3.46-3.54
Ac  0.8409  0.2500  0.6818  6 Tl 3.46-3.54
Ac  0.9892  0.7500  0.9783  8 Tl 3.48-3.67, 2 Ac 3.70
Ac  0.0108  0.2500  0.0217  8 Tl 3.48-3.67, 2 Ac 3.70
Nd  0.3389  0.7500  0.6778  4 Tl 3.24-3.25
Nd  0.6611  0.2500  0.3222  4 Tl 3.24-3.25
Tl  0.4228  0.4691  0.8457  1 Tl 3.19, 1 Nd 3.25, 4 Ac 3.48-3.54
Tl  0.5772  0.5309  0.1543  1 Tl 3.19, 1 Nd 3.25, 4 Ac 3.48-3.54
Tl  0.4228  0.0309  0.8457  1 Tl 3.19, 1 Nd 3.25, 4 Ac 3.48-3.54
Tl  0.5772  0.9691  0.1543  1 Tl 3.19, 1 Nd 3.25, 4 Ac 3.48-3.54
Tl  0.7536  0.7500  0.5071  2 Nd 3.24, 2 Ac 3.46
Tl  0.2464  0.2500  0.4929  2 Nd 3.24, 2 Ac 3.46


(3)
First-principles (PBE-GGA) data for crystalline AcNd12Tl3 at its relaxed geometry, as listed in Alexandria via LeMat-Bulk.

## Properties
Magnetic moment ... 0.001 μB per formula unit
D(E_F) ... 1.5104 states/eV per atom

a = 5.0342 Å, b = 5.0342 Å, c = 20.6246 Å
α = 90.00°, β = 90.00°, γ = 90.00°
Last column: nearest neighbours and their distance in Å.
Fractional positions:
Ac  0.0000  0.0000  0.0000  12 Nd 3.56-3.76
Nd  0.5000  0.5000  0.0000  4 Ac 3.56, 8 Nd 3.76
Nd  0.5000  0.5000  0.2589  8 Nd 3.53-3.58, 4 Tl 3.56
Nd  0.5000  0.5000  0.5000  8 Nd 3.55, 4 Tl 3.56
Nd  0.5000  0.5000  0.7411  8 Nd 3.53-3.58, 4 Tl 3.56
Nd  0.5000  0.0000  0.1357  8 Nd 3.56-3.76, 2 Tl 3.57, 2 Ac 3.76
Nd  0.5000  0.0000  0.3790  8 Nd 3.53-3.56, 4 Tl 3.54-3.55
Nd  0.5000  0.0000  0.6210  8 Nd 3.53-3.56, 4 Tl 3.54-3.55
Nd  0.5000  0.0000  0.8643  8 Nd 3.56-3.76, 2 Tl 3.57, 2 Ac 3.76
Nd  0.0000  0.5000  0.1357  8 Nd 3.56-3.76, 2 Tl 3.57, 2 Ac 3.76
Nd  0.0000  0.5000  0.3790  8 Nd 3.53-3.56, 4 Tl 3.54-3.55
Nd  0.0000  0.5000  0.6210  8 Nd 3.53-3.56, 4 Tl 3.54-3.55
Nd  0.0000  0.5000  0.8643  8 Nd 3.56-3.76, 2 Tl 3.57, 2 Ac 3.76
Tl  0.0000  0.0000  0.2584  12 Nd 3.54-3.57
Tl  0.0000  0.0000  0.5000  12 Nd 3.55-3.56
Tl  0.0000  0.0000  0.7416  12 Nd 3.54-3.57


(4)
First-principles (PBE-GGA) data for crystalline Ac5NdTl8 at its relaxed geometry, as listed in Alexandria via LeMat-Bulk.

## Properties
Magnetic moment ... 0.000 μB per formula unit
D(E_F) ... 0.8108 states/eV per atom

a = 8.6174 Å, b = 8.6174 Å, c = 8.6174 Å
α = 108.87°, β = 110.69°, γ = 108.87°
Last column: nearest neighbours and their distance in Å.
Fractional positions:
Ac  0.9875  0.3542  0.1110  8 Tl 3.40-3.57
Ac  0.8890  0.8766  0.2433  8 Tl 3.40-3.57
Ac  0.7567  0.6458  0.6333  8 Tl 3.40-3.57
Ac  0.5000  0.0000  0.5000  8 Tl 3.48
Ac  0.3667  0.1234  0.0125  8 Tl 3.40-3.57
Nd  0.2500  0.5000  0.7500  8 Tl 3.29
Tl  0.1243  0.7219  0.0283  1 Nd 3.29, 5 Ac 3.40-3.49, 1 Tl 3.45
Tl  0.9717  0.0959  0.6935  1 Nd 3.29, 5 Ac 3.40-3.49, 1 Tl 3.45
Tl  0.8059  0.2639  0.3944  1 Nd 3.29, 2 Tl 3.45-3.57, 5 Ac 3.48-3.57
Tl  0.6056  0.4115  0.8696  1 Nd 3.29, 2 Tl 3.45-3.57, 5 Ac 3.48-3.57
Tl  0.4581  0.5885  0.1941  1 Nd 3.29, 2 Tl 3.45-3.57, 5 Ac 3.48-3.57
Tl  0.5976  0.9041  0.8757  1 Nd 3.29, 5 Ac 3.40-3.49, 1 Tl 3.45
Tl  0.3065  0.2781  0.4024  1 Nd 3.29, 5 Ac 3.40-3.49, 1 Tl 3.45
Tl  0.1304  0.7361  0.5419  1 Nd 3.29, 2 Tl 3.45-3.57, 5 Ac 3.48-3.57


(5)
First-principles (PBE-GGA) data for crystalline AcNd4Tl7 at its relaxed geometry, as listed in Alexandria via LeMat-Bulk.

## Properties
Magnetic moment ... 0.000 μB per formula unit
D(E_F) ... 0.8775 states/eV per atom

a = 6.0306 Å, b = 10.3084 Å, c = 7.3428 Å
α = 84.60°, β = 65.75°, γ = 72.99°
Last column: nearest neighbours and their distance in Å.
Fractional positions:
Ac  0.0000  0.0000  0.0000  2 Tl 3.02
Nd  0.5879  0.2192  0.6050  8 Tl 3.20-3.50
Nd  0.4121  0.7808  0.3950  8 Tl 3.20-3.50
Nd  0.7328  0.6623  0.8721  8 Tl 3.25-3.64
Nd  0.2672  0.3377  0.1279  8 Tl 3.25-3.64
Tl  0.7824  0.8961  0.5392  4 Nd 3.20-3.35, 2 Tl 3.22
Tl  0.2176  0.1039  0.4608  4 Nd 3.20-3.35, 2 Tl 3.22
Tl  0.0745  0.6748  0.1763  2 Tl 3.22-3.23, 3 Nd 3.33-3.50, 1 Ac 3.45
Tl  0.9255  0.3252  0.8237  2 Tl 3.22-3.23, 3 Nd 3.33-3.50, 1 Ac 3.45
Tl  0.3633  0.5450  0.7284  2 Tl 3.16-3.23, 5 Nd 3.27-3.41
Tl  0.5000  0.0000  0.0000  2 Ac 3.02, 2 Tl 3.22
Tl  0.6367  0.4550  0.2716  2 Tl 3.16-3.23, 5 Nd 3.27-3.41


(6)
First-principles (PBE-GGA) data for crystalline AcNd4Tl2 at its relaxed geometry, as listed in Alexandria via LeMat-Bulk.

## Properties
Energy above the lowest structure with this stoichiometry ... 4.66 kcal/mol of atoms
Magnetic moment ... 0.000 μB per formula unit
D(E_F) ... 1.2566 states/eV per atom

a = 6.7200 Å, b = 6.7200 Å, c = 6.2332 Å
α = 94.19°, β = 94.19°, γ = 117.64°
Last column: nearest neighbours and their distance in Å.
Fractional positions:
Ac  0.0000  0.0000  0.0000  4 Nd 3.36, 2 Tl 3.54
Nd  0.7582  0.2418  0.5000  4 Nd 3.35-3.48, 2 Tl 3.39
Nd  0.2418  0.7582  0.5000  4 Nd 3.35-3.48, 2 Tl 3.39
Nd  0.5000  0.0000  0.0000  4 Nd 3.35-3.48, 2 Ac 3.36, 2 Tl 3.59
Nd  0.0000  0.5000  0.0000  4 Nd 3.35-3.48, 2 Ac 3.36, 2 Tl 3.59
Tl  0.5820  0.5820  0.2652  2 Tl 3.29-3.34, 4 Nd 3.39-3.59, 1 Ac 3.54
Tl  0.4180  0.4180  0.7348  2 Tl 3.29-3.34, 4 Nd 3.39-3.59, 1 Ac 3.54


(7)
First-principles (PBE-GGA) data for crystalline AcNd6Tl2 at its relaxed geometry, as listed in Alexandria via LeMat-Bulk.

## Properties
Magnetic moment ... 0.000 μB per formula unit
D(E_F) ... 1.2651 states/eV per atom

a = 3.9228 Å, b = 6.9896 Å, c = 12.2491 Å
α = 74.18°, β = 80.79°, γ = 73.70°
Last column: nearest neighbours and their distance in Å.
Fractional positions:
Ac  0.0000  0.0000  0.0000  4 Tl 3.48
Nd  0.6916  0.4886  0.1283  2 Tl 3.42, 5 Nd 3.59-3.68
Nd  0.3084  0.5114  0.8717  2 Tl 3.42, 5 Nd 3.59-3.68
Nd  0.3119  0.7968  0.5794  2 Tl 3.35, 7 Nd 3.53-3.74
Nd  0.9935  0.6710  0.3421  2 Tl 3.32, 4 Nd 3.63-3.68
Nd  0.0065  0.3290  0.6579  2 Tl 3.32, 4 Nd 3.63-3.68
Nd  0.6881  0.2032  0.4206  2 Tl 3.35, 7 Nd 3.53-3.74
Tl  0.3537  0.0662  0.2265  6 Nd 3.32-3.42, 2 Ac 3.48
Tl  0.6463  0.9338  0.7735  6 Nd 3.32-3.42, 2 Ac 3.48


(8)
First-principles (PBE-GGA) data for crystalline AcNd4Tl at its relaxed geometry, as listed in Alexandria via LeMat-Bulk.

## Properties
Magnetic moment ... 0.000 μB per formula unit
D(E_F) ... 1.4869 states/eV per atom

a = 3.8066 Å, b = 3.8066 Å, c = 14.5929 Å
α = 90.00°, β = 90.00°, γ = 90.00°
Last column: nearest neighbours and their distance in Å.
Fractional positions:
Ac  0.0000  0.0000  0.0000  4 Ac 3.81, 8 Nd 3.84
Nd  0.5000  0.5000  0.1874  8 Nd 3.67-3.81, 4 Ac 3.84
Nd  0.0000  0.0000  0.6412  4 Tl 3.39, 4 Nd 3.67
Nd  0.0000  0.0000  0.3588  4 Tl 3.39, 4 Nd 3.67
Nd  0.5000  0.5000  0.8126  8 Nd 3.67-3.81, 4 Ac 3.84
Tl  0.5000  0.5000  0.5000  8 Nd 3.39


(9)
First-principles (PBE-GGA) data for crystalline Ac4NdTl2 at its relaxed geometry, as listed in Alexandria via LeMat-Bulk.

## Properties
Magnetic moment ... 0.000 μB per formula unit
D(E_F) ... 1.2829 states/eV per atom

a = 8.4423 Å, b = 10.6636 Å, c = 10.6732 Å
α = 140.55°, β = 104.10°, γ = 92.67°
Last column: nearest neighbours and their distance in Å.
Fractional positions:
Ac  0.8664  0.1526  0.1713  1 Tl 3.39, 1 Nd 3.51
Ac  0.3534  0.6225  0.1200  3 Tl 3.41-3.80, 1 Nd 3.51
Ac  0.8943  0.5154  0.7672  3 Tl 3.40-3.81, 1 Nd 3.52
Ac  0.8365  0.0609  0.6907  3 Tl 3.44-3.73, 2 Ac 3.54-3.76, 2 Nd 3.67-3.74
Ac  0.3538  0.0738  0.2270  3 Tl 3.48-3.58, 2 Ac 3.54-3.76, 2 Nd 3.60-3.82
Ac  0.3848  0.0581  0.7900  1 Tl 3.39, 1 Nd 3.50
Ac  0.4099  0.6046  0.7221  3 Tl 3.43-3.73, 2 Ac 3.54-3.76, 2 Nd 3.65-3.72
Ac  0.9004  0.6239  0.2233  3 Tl 3.47-3.57, 2 Ac 3.54-3.76, 2 Nd 3.58-3.81
Nd  0.0371  0.7699  0.7013  1 Tl 3.14, 2 Ac 3.50-3.52
Nd  0.2134  0.4115  0.2299  1 Tl 3.15, 2 Ac 3.51
Tl  0.5410  0.2819  0.7110  1 Tl 3.16, 5 Ac 3.39-3.53
Tl  0.7088  0.9105  0.2317  1 Tl 3.16, 4 Ac 3.39-3.47
Tl  0.6254  0.5419  0.4177  2 Nd 3.14-3.15
Tl  0.1247  0.1224  0.4968  2 Tl 3.16


(10)
First-principles (PBE-GGA) data for crystalline AcNd4Tl4 at its relaxed geometry, as listed in Alexandria via LeMat-Bulk.

## Properties
Magnetic moment ... 0.000 μB per formula unit
D(E_F) ... 0.9454 states/eV per atom

a = 6.2225 Å, b = 9.7199 Å, c = 9.7199 Å
α = 90.00°, β = 90.00°, γ = 90.00°
Last column: nearest neighbours and their distance in Å.
Fractional positions:
Ac  0.0000  0.0000  0.0000  4 Tl 3.43, 4 Nd 3.50
Ac  0.5000  0.5000  0.5000  4 Tl 3.43, 4 Nd 3.50
Nd  0.3830  0.4196  0.8430  5 Tl 3.27-3.56, 1 Nd 3.43, 1 Ac 3.50
Nd  0.8830  0.6570  0.9196  5 Tl 3.27-3.56, 1 Nd 3.43, 1 Ac 3.50
Nd  0.3830  0.5804  0.1570  5 Tl 3.27-3.56, 1 Nd 3.43, 1 Ac 3.50
Nd  0.1170  0.0804  0.6570  5 Tl 3.27-3.56, 1 Nd 3.43, 1 Ac 3.50
Nd  0.6170  0.8430  0.5804  5 Tl 3.27-3.56, 1 Nd 3.43, 1 Ac 3.50
Nd  0.1170  0.9196  0.3430  5 Tl 3.27-3.56, 1 Nd 3.43, 1 Ac 3.50
Nd  0.8830  0.3430  0.0804  5 Tl 3.27-3.56, 1 Nd 3.43, 1 Ac 3.50
Nd  0.6170  0.1570  0.4196  5 Tl 3.27-3.56, 1 Nd 3.43, 1 Ac 3.50
Tl  0.6015  0.8890  0.2167  5 Nd 3.27-3.56, 3 Tl 3.34-3.58, 1 Ac 3.43
Tl  0.6015  0.1110  0.7833  5 Nd 3.27-3.56, 3 Tl 3.34-3.58, 1 Ac 3.43
Tl  0.1015  0.7167  0.6110  5 Nd 3.27-3.56, 3 Tl 3.34-3.58, 1 Ac 3.43
Tl  0.8985  0.3890  0.7167  5 Nd 3.27-3.56, 3 Tl 3.34-3.58, 1 Ac 3.43
Tl  0.8985  0.6110  0.2833  5 Nd 3.27-3.56, 3 Tl 3.34-3.58, 1 Ac 3.43
Tl  0.3985  0.2167  0.1110  5 Nd 3.27-3.56, 3 Tl 3.34-3.58, 1 Ac 3.43
Tl  0.3985  0.7833  0.8890  5 Nd 3.27-3.56, 3 Tl 3.34-3.58, 1 Ac 3.43
Tl  0.1015  0.2833  0.3890  5 Nd 3.27-3.56, 3 Tl 3.34-3.58, 1 Ac 3.43


| no. | energy relative to the elements (eV/atom) |
| --- | --- |
| 1 | -0.091 |
| 2 | -0.212 |
| 3 | -0.134 |
| 4 | -0.299 |
| 5 | -0.156 |
| 6 | 0.075 |
| 7 | -0.142 |
| 8 | -0.100 |
| 9 | -0.085 |
| 10 | -0.178 |